1.
A geometry-optimized LaHfFe2H8 structure. Source: Alexandria via LeMat-Bulk, functional PBE.

## Properties
total energy = -5.131 eV per atom

```
12
Lattice="4.6478 0.0000 0.0000 2.3240 4.0251 0.0000 2.3239 1.3417 5.6414" Properties=species:S:1:pos:R:3 pbc="T T T"
La 4.6479 2.6834 2.8207
Hf 0.0000 0.0000 0.0000
Fe 2.3239 1.3417 0.4691
Fe 6.9718 4.0251 5.1723
H 2.3239 1.3417 2.1323
H 3.9072 1.7095 0.7908
H 6.9718 4.0251 3.5091
H 5.8616 2.5289 0.7908
H 3.4341 2.8378 4.8506
H 4.1748 3.8117 0.7908
H 5.1209 1.5550 4.8506
H 5.3885 3.6573 4.8506
```



2.
A geometry-optimized HfMnFe2H structure. Source: Alexandria via LeMat-Bulk, functional PBE.

## Properties
total energy = -7.954 eV per atom

```
5
Lattice="-0.6194 3.7843 1.2440 -2.3027 0.6872 -3.2369 -2.8089 -1.0438 1.7766" Properties=species:S:1:pos:R:3 pbc="T T T"
H 0.0000 0.0000 0.0000
Mn -1.4044 -0.5219 0.8883
Hf -2.8655 1.7138 -0.1081
Fe -1.1513 0.3436 -1.6184
Fe -0.3097 1.8921 0.6220
```



3.
A geometry-optimized HfMn2FeH structure. Source: Alexandria via LeMat-Bulk, functional PBE.

## Properties
total energy = -8.033 eV per atom

```
5
Lattice="3.8881 0.0000 0.0000 0.0000 3.8881 0.0000 0.0000 0.0000 3.8467" Properties=species:S:1:pos:R:3 pbc="T T T"
H 0.0000 0.0000 0.0000
Mn 0.0000 1.9440 0.0000
Mn 1.9440 0.0000 0.0000
Hf 1.9440 1.9440 1.9233
Fe 0.0000 0.0000 1.9233
```



4.
A geometry-optimized HfFe2MoH structure. Source: Alexandria via LeMat-Bulk, functional PBE.

## Properties
total energy = -8.123 eV per atom

```
5
Lattice="-1.9294 0.7751 -3.2195 -1.0475 -3.6776 -0.2576 -3.3880 0.8092 2.2252" Properties=species:S:1:pos:R:3 pbc="T T T"
H 0.0000 0.0000 0.0000
Mo -1.6940 0.4046 1.1126
Hf -3.1825 -1.0467 -0.6259
Fe -0.5238 -1.8388 -0.1288
Fe -0.9647 0.3875 -1.6097
```



5.
A geometry-optimized HfFeHN2 structure. Source: Alexandria via LeMat-Bulk, functional PBE.

## Properties
total energy = -7.330 eV per atom

```
5
Lattice="-3.7331 1.0338 -1.4837 -1.5236 -1.1867 3.0066 0.3771 3.7736 1.6805" Properties=species:S:1:pos:R:3 pbc="T T T"
H -0.7618 -0.5933 1.5033
Hf 0.0000 0.0000 0.0000
Fe -2.4398 1.8104 1.6017
N 0.1886 1.8868 0.8403
N -1.8666 0.5169 -0.7418
```



6.
A geometry-optimized Hf2NbFeH structure. Source: Alexandria via LeMat-Bulk, functional PBE.

## Properties
total energy = -8.451 eV per atom

```
5
Lattice="-2.0206 -1.6069 3.8473 2.0703 -4.0977 -0.6242 2.6571 1.0623 1.8392" Properties=species:S:1:pos:R:3 pbc="T T T"
H 0.0000 0.0000 0.0000
Nb 1.3534 -2.3212 2.5312
Hf 1.0351 -2.0489 -0.3121
Hf -1.0103 -0.8035 1.9237
Fe 1.3286 0.5311 0.9196
```